First-principles (PBE with a Hubbard U) data for VGa2HgO6 after structural relaxation, as listed in the Alexandria database.

Cell and atoms, written as extended XYZ:
```
20
Lattice="5.321 -5.684 0.000 5.321 5.684 0.000 -2.391 0.000 5.213" Properties=species:S:1:pos:R:3 pbc="T T T"
V 3.528 2.988 3.910
V 4.723 -2.988 1.303
Ga 2.464 0.784 1.395
Ga 1.268 -0.784 4.001
Ga 6.983 0.784 1.212
Ga 5.787 -0.784 3.818
Hg 4.723 4.436 1.303
Hg 3.528 -4.436 3.910
O 2.234 4.346 4.432
O 3.008 2.255 2.417
O 4.821 4.346 3.387
O 0.973 0.684 5.032
O 2.168 -0.684 2.425
O 6.439 2.255 0.189
O 1.812 -2.255 5.023
O 6.083 0.684 2.788
O 7.278 -0.684 0.181
O 3.430 -4.346 1.825
O 5.243 -2.255 2.796
O 6.017 -4.346 0.781
```

Computed properties:
E_tot: -5.82 eV per atom